Record 1
A plane-wave DFT calculation with GGA-PBE was carried out for a relaxed K2Au2Br7 crystal.

Energy relative to the elements, uncorrected, eV/atom: -0.582
Offset from the most stable computed form, eV per atom: 0.055
Magnetic moment, μB/atom: 0.00
Density, g/cm³: 4.20

a = 5.6837 Å, b = 8.4999 Å, c = 8.4999 Å
α = 85.94°, β = 93.73°, γ = 93.73°
Atoms (fractional coordinates):
K: 0.0000 0.2793 0.7207
K: 0.0000 0.7207 0.2793
Au: 0.4872 0.2089 0.2089
Au: 0.5128 0.7911 0.7911
Br: 0.8363 0.9298 0.6007
Br: 0.1637 0.3993 0.0702
Br: 0.1637 0.0702 0.3993
Br: 0.8363 0.6007 0.9298
Br: 0.5000 0.0000 0.0000
Br: 0.3063 0.6052 0.6052
Br: 0.6937 0.3948 0.3948


Record 2
A plane-wave DFT calculation with GGA-PBE was carried out for a relaxed TiNb2Pt9 crystal.

Magnetic moment, μB/atom: 0.11
Formation enthalpy at 0 K, meV per atom: -638
Density, g/cm³: 17.37

a = 3.9867 Å, b = 3.9867 Å, c = 11.9647 Å
α = 90.00°, β = 90.00°, γ = 90.00°
Atoms (fractional coordinates):
Ti: 0.0000 0.0000 0.0000
Nb: 0.0000 0.0000 0.3304
Nb: 0.0000 0.0000 0.6696
Pt: 0.5000 0.5000 0.0000
Pt: 0.5000 0.5000 0.3327
Pt: 0.5000 0.5000 0.6673
Pt: 0.5000 0.0000 0.1647
Pt: 0.5000 0.0000 0.5000
Pt: 0.5000 0.0000 0.8353
Pt: 0.0000 0.5000 0.1647
Pt: 0.0000 0.5000 0.5000
Pt: 0.0000 0.5000 0.8353


Record 3
A plane-wave DFT calculation with GGA-PBE was carried out for a relaxed Th2NpGe4Ir3 crystal.

Magnetic moment, μB/atom: 0.36
Formation enthalpy at 0 K, meV per atom: -592
Density, g/cm³: 12.73

a = 4.2497 Å, b = 4.2497 Å, c = 11.3267 Å
α = 90.00°, β = 90.00°, γ = 90.00°
Atoms (fractional coordinates):
Th: 0.5000 0.0000 0.2300
Th: 0.0000 0.5000 0.7700
Np: 0.5000 0.5000 0.5000
Ge: 0.5000 0.5000 0.0000
Ge: 0.0000 0.0000 0.0000
Ge: 0.5000 0.0000 0.6674
Ge: 0.0000 0.5000 0.3326
Ir: 0.0000 0.0000 0.5000
Ir: 0.5000 0.0000 0.8831
Ir: 0.0000 0.5000 0.1169